Computed, not measured: a relaxed NdScCdHg crystal at the PBE level of DFT.

Values from the calculation:
**Symmetry**: No. 216
**Formation enthalpy at 0 K**: -349 meV per atom

Unit cell a=5.2354 b=5.2354 c=5.2354 alpha=60.00 beta=60.00 gamma=60.00
With the nearest neighbours (Å) after each atom.
Sites, in units of the cell vectors:
Hg  0.2500  0.2500  0.2500  4 Sc 3.21, 4 Nd 3.21
Cd  0.7500  0.7500  0.7500  4 Nd 3.21, 4 Sc 3.21
Sc  0.0000  0.0000  0.0000  4 Cd 3.21, 4 Hg 3.21
Nd  0.5000  0.5000  0.5000  4 Hg 3.21, 4 Cd 3.21